Entry 1:
Hf2Mo4As3C3 | GGA-PBE | optimized geometry

Lattice parameters (Å, degrees): 5.6992 5.6992 12.5224 103.05 103.05 60.19
Fractional coordinates of all 24 atoms:
1 Hf 0.0336 0.8667 0.6039
2 Hf 0.1333 0.9664 0.8961
3 Hf 0.8667 0.0336 0.1039
4 Hf 0.9664 0.1333 0.3961
5 Mo 0.1962 0.3651 0.0859
6 Mo 0.3071 0.4665 0.4137
7 Mo 0.3651 0.1962 0.5859
8 Mo 0.4665 0.3071 0.9137
9 Mo 0.5335 0.6929 0.0863
10 Mo 0.6349 0.8038 0.4141
11 Mo 0.6929 0.5335 0.5863
12 Mo 0.8038 0.6349 0.9141
13 As 0.0825 0.2766 0.7487
14 As 0.2766 0.0825 0.2487
15 As 0.4428 0.5572 0.7500
16 As 0.5572 0.4428 0.2500
17 As 0.7234 0.9175 0.7513
18 As 0.9175 0.7234 0.2513
19 C 0.0000 0.5000 0.5000
20 C 0.1651 0.6717 0.0000
21 C 0.3283 0.8349 0.5000
22 C 0.5000 0.0000 0.0000
23 C 0.6717 0.1651 0.5000
24 C 0.8349 0.3283 0.0000

Calculated values
density: 9.763 g/cm3
calculated total energy: -9.168 eV per atom



Entry 2:
Tb3Pb7 | GGA-PBE | optimized geometry

Lattice parameters (Å, degrees): 13.7163 13.7163 4.6225 90.00 90.00 160.87
Fractional coordinates of all 10 atoms:
1 Tb 0.0000 0.0000 0.0000
2 Tb 0.3088 0.6912 0.5000
3 Tb 0.6912 0.3088 0.5000
4 Pb 0.0970 0.9030 0.5000
5 Pb 0.2087 0.7913 0.0000
6 Pb 0.4026 0.5974 0.0000
7 Pb 0.5000 0.5000 0.5000
8 Pb 0.5974 0.4026 0.0000
9 Pb 0.7913 0.2087 0.0000
10 Pb 0.9030 0.0970 0.5000

Calculated values
density: 11.227 g/cm3
calculated total energy: -4.330 eV per atom



Entry 3:
Nd2ErIrPd2Pb3 | GGA-PBE | optimized geometry

Lattice parameters (Å, degrees): 3.9743 7.8536 7.8536 119.88 90.00 90.00
Fractional coordinates of all 9 atoms:
1 Nd 0.0000 0.2004 0.7996
2 Nd 0.0000 0.7996 0.2004
3 Er 0.0000 0.4028 0.4028
4 Ir 0.0000 0.7931 0.7931
5 Pd 0.5000 0.1404 0.4635
6 Pd 0.5000 0.4635 0.1404
7 Pb 0.5000 0.0608 0.0608
8 Pb 0.5000 0.5371 0.7977
9 Pb 0.5000 0.7977 0.5371

Calculated values
density: 11.581 g/cm3
calculated total energy: -5.593 eV per atom



Entry 4:
GaFeTe | GGA-PBE | optimized geometry

Lattice parameters (Å, degrees): 4.2353 4.2353 4.2353 60.00 60.00 60.00
Fractional coordinates of all 3 atoms:
1 Ga 0.0000 0.0000 0.0000
2 Fe 0.2500 0.2500 0.2500
3 Te 0.5000 0.5000 0.5000

Calculated values
density: 7.826 g/cm3
calculated total energy: -4.734 eV per atom



Entry 5:
RbAg2PS2O2 | GGA-PBE | optimized geometry

Lattice parameters (Å, degrees): 6.2293 5.8160 6.5790 59.96 53.93 66.11
Fractional coordinates of all 8 atoms:
1 Rb 0.0000 0.0000 0.0000
2 Ag 0.2133 0.2133 0.2867
3 Ag 0.7133 0.7133 0.7867
4 P 0.4656 0.4656 0.5344
5 S 0.4569 0.8041 0.1959
6 S 0.8041 0.4569 0.5431
7 O 0.2153 0.5155 0.7847
8 O 0.5155 0.2153 0.4845

Calculated values
density: 4.318 g/cm3
calculated total energy: -4.770 eV per atom



Entry 6:
DyHoNi2As2 | GGA-PBE | optimized geometry

Lattice parameters (Å, degrees): 4.0563 4.0563 15.2874 90.00 90.00 120.00
Fractional coordinates of all 12 atoms:
1 Dy 0.0000 0.0000 0.0000
2 Dy 0.0000 0.0000 0.5000
3 Ho 0.0000 0.0000 0.2500
4 Ho 0.0000 0.0000 0.7500
5 Ni 0.3333 0.6667 0.1333
6 Ni 0.3333 0.6667 0.3667
7 Ni 0.6667 0.3333 0.6333
8 Ni 0.6667 0.3333 0.8667
9 As 0.3333 0.6667 0.6209
10 As 0.3333 0.6667 0.8791
11 As 0.6667 0.3333 0.1209
12 As 0.6667 0.3333 0.3791

Calculated values
density: 9.066 g/cm3
calculated total energy: -6.005 eV per atom



Entry 7:
TaCoGeAu | GGA-PBE | optimized geometry

Lattice parameters (Å, degrees): 4.4335 4.4335 4.4335 60.00 60.00 60.00
Fractional coordinates of all 4 atoms:
1 Ta 0.0000 0.0000 0.0000
2 Co 0.5000 0.5000 0.5000
3 Ge 0.2500 0.2500 0.2500
4 Au 0.7500 0.7500 0.7500

Calculated values
density: 13.730 g/cm3
calculated total energy: -6.583 eV per atom



Entry 8:
NaAgMoSe2S | GGA-PBE | optimized geometry

Lattice parameters (Å, degrees): 7.0096 7.0096 9.9919 90.00 90.00 148.41
Fractional coordinates of all 12 atoms:
1 Na 0.2438 0.7562 0.7500
2 Na 0.7562 0.2438 0.2500
3 Ag 0.0551 0.9449 0.2500
4 Ag 0.9449 0.0551 0.7500
5 Mo 0.5000 0.5000 0.0000
6 Mo 0.5000 0.5000 0.5000
7 Se 0.1348 0.8652 0.0211
8 Se 0.1348 0.8652 0.4789
9 Se 0.8652 0.1348 0.5211
10 Se 0.8652 0.1348 0.9789
11 S 0.4314 0.5686 0.2500
12 S 0.5686 0.4314 0.7500

Calculated values
density: 5.383 g/cm3
calculated total energy: -4.682 eV per atom



Entry 9:
ZrInGaSe3 | GGA-PBE | optimized geometry

Lattice parameters (Å, degrees): 7.8066 7.8066 11.0514 90.00 90.00 151.43
Fractional coordinates of all 12 atoms:
1 Zr 0.0000 0.0000 0.0000
2 Zr 0.0000 0.0000 0.5000
3 In 0.2885 0.7115 0.7500
4 In 0.7115 0.2885 0.2500
5 Ga 0.3695 0.6305 0.2500
6 Ga 0.6305 0.3695 0.7500
7 Se 0.0096 0.9904 0.7500
8 Se 0.3741 0.6259 0.5062
9 Se 0.3741 0.6259 0.9938
10 Se 0.6259 0.3741 0.0062
11 Se 0.6259 0.3741 0.4938
12 Se 0.9904 0.0096 0.2500

Calculated values
density: 5.287 g/cm3
calculated total energy: -4.885 eV per atom



Entry 10:
Sc2Ga2Ni | GGA-PBE | optimized geometry

Lattice parameters (Å, degrees): 6.7579 6.7579 6.7579 145.90 145.90 49.00
Fractional coordinates of all 5 atoms:
1 Sc 0.2500 0.7500 0.5000
2 Sc 0.7500 0.2500 0.5000
3 Ga 0.0929 0.0929 0.0000
4 Ga 0.9071 0.9071 0.0000
5 Ni 0.5000 0.5000 0.0000

Calculated values
density: 4.952 g/cm3
calculated total energy: -4.642 eV per atom



Entry 11:
KErCdTe3 | GGA-PBE | optimized geometry

Lattice parameters (Å, degrees): 9.9533 9.9533 9.7787 102.99 102.99 25.86
Fractional coordinates of all 12 atoms:
1 K 0.1407 0.1407 0.0681
2 K 0.8593 0.8593 0.9319
3 Er 0.1753 0.1753 0.5834
4 Er 0.8247 0.8247 0.4166
5 Cd 0.4817 0.4817 0.2806
6 Cd 0.5183 0.5183 0.7194
7 Te 0.0000 0.0000 0.5000
8 Te 0.3279 0.3279 0.2043
9 Te 0.3355 0.3355 0.6361
10 Te 0.5000 0.5000 0.0000
11 Te 0.6645 0.6645 0.3639
12 Te 0.6721 0.6721 0.7957

Calculated values
density: 5.666 g/cm3
calculated total energy: -3.622 eV per atom



Entry 12:
CoReAsPd | GGA-PBE | optimized geometry

Lattice parameters (Å, degrees): 4.2946 4.2946 4.2946 60.00 60.00 60.00
Fractional coordinates of all 4 atoms:
1 Co 0.0000 0.0000 0.0000
2 Re 0.5000 0.5000 0.5000
3 As 0.7500 0.7500 0.7500
4 Pd 0.2500 0.2500 0.2500

Calculated values
density: 12.644 g/cm3
calculated total energy: -7.071 eV per atom



Entry 13:
Zn2GaTc | GGA-PBE | optimized geometry

Lattice parameters (Å, degrees): 4.3349 4.3349 4.3349 60.00 60.00 60.00
Fractional coordinates of all 4 atoms:
1 Zn 0.0000 0.0000 0.0000
2 Zn 0.2500 0.2500 0.2500
3 Ga 0.5000 0.5000 0.5000
4 Tc 0.7500 0.7500 0.7500

Calculated values
density: 8.606 g/cm3
calculated total energy: -3.849 eV per atom



Entry 14:
As2Os3Pb2 | GGA-PBE | optimized geometry

Lattice parameters (Å, degrees): 7.9752 7.9752 7.9752 33.21 33.21 33.21
Fractional coordinates of all 7 atoms:
1 As 0.0000 0.0000 0.0000
2 As 0.4915 0.4915 0.4915
3 Os 0.1138 0.1138 0.1138
4 Os 0.3752 0.3752 0.3752
5 Os 0.8490 0.8490 0.8490
6 Pb 0.2463 0.2463 0.2463
7 Pb 0.7274 0.7274 0.7274

Calculated values
density: 13.916 g/cm3
calculated total energy: -6.489 eV per atom



Entry 15:
ThZn2 | GGA-PBE | optimized geometry

Lattice parameters (Å, degrees): 7.6641 7.6641 5.1978 90.00 90.00 154.48
Fractional coordinates of all 6 atoms:
1 Th 0.1091 0.8909 0.7500
2 Th 0.8909 0.1091 0.2500
3 Zn 0.2180 0.7820 0.2500
4 Zn 0.4300 0.5700 0.7500
5 Zn 0.5700 0.4300 0.2500
6 Zn 0.7820 0.2180 0.7500

Calculated values
energy of formation from the pure elements: -0.053 eV/atom
density: 9.163 g/cm3



Entry 16:
Np | GGA-PBE | optimized geometry

Lattice parameters (Å, degrees): 9.3705 9.3705 9.3705 17.24 17.24 17.24
Fractional coordinates of all 3 atoms:
1 Np 0.0000 0.0000 0.0000
2 Np 0.2221 0.2221 0.2221
3 Np 0.7779 0.7779 0.7779

Calculated values
energy of formation from the pure elements: 0.330 eV/atom
density: 18.720 g/cm3



Entry 17:
NpIn2Sn | GGA-PBE | optimized geometry

Lattice parameters (Å, degrees): 4.5691 4.5691 4.8114 90.00 90.00 90.00
Fractional coordinates of all 4 atoms:
1 Np 0.0000 0.0000 0.0000
2 In 0.0000 0.5000 0.5000
3 In 0.5000 0.0000 0.5000
4 Sn 0.5000 0.5000 0.0000

Calculated values
density: 9.677 g/cm3
calculated total energy: -5.684 eV per atom



Entry 18:
Cs2BiAu | GGA-PBE | optimized geometry

Lattice parameters (Å, degrees): 6.8478 5.1977 10.9809 90.00 97.76 90.00
Fractional coordinates of all 8 atoms:
1 Cs 0.2241 0.2500 0.4120
2 Cs 0.2730 0.7500 0.0593
3 Cs 0.7270 0.2500 0.9407
4 Cs 0.7759 0.7500 0.5880
5 Bi 0.1961 0.2500 0.7637
6 Bi 0.8039 0.7500 0.2363
7 Au 0.3161 0.7500 0.7260
8 Au 0.6839 0.2500 0.2740

Calculated values
density: 5.761 g/cm3
calculated total energy: -2.662 eV per atom



Entry 19:
NaOs2PdF11 | GGA-PBE | optimized geometry

Lattice parameters (Å, degrees): 5.0045 5.3447 8.0610 98.92 105.90 107.06
Fractional coordinates of all 15 atoms:
1 Na 0.0000 0.0000 0.0000
2 Os 0.2583 0.5739 0.7532
3 Os 0.7417 0.4261 0.2468
4 Pd 0.5000 0.0000 0.5000
5 F 0.0000 0.5000 0.5000
6 F 0.0508 0.6586 0.1825
7 F 0.1146 0.8628 0.7770
8 F 0.3766 0.2801 0.6735
9 F 0.4044 0.1894 0.2932
10 F 0.4899 0.2728 0.0059
11 F 0.5101 0.7272 0.9941
12 F 0.5956 0.8106 0.7068
13 F 0.6234 0.7199 0.3265
14 F 0.8854 0.1372 0.2230
15 F 0.9492 0.3414 0.8175

Calculated values
density: 6.229 g/cm3
calculated total energy: -4.878 eV per atom



Entry 20:
Dy2TmFeCo8 | GGA-PBE | optimized geometry

Lattice parameters (Å, degrees): 8.5014 8.5014 8.5014 34.08 34.08 34.08
Fractional coordinates of all 12 atoms:
1 Dy 0.1392 0.1392 0.1392
2 Dy 0.8608 0.8608 0.8608
3 Tm 0.0000 0.0000 0.0000
4 Fe 0.5000 0.5000 0.5000
5 Co 0.0791 0.5826 0.5826
6 Co 0.3340 0.3340 0.3340
7 Co 0.4174 0.4174 0.9209
8 Co 0.4174 0.9209 0.4174
9 Co 0.5826 0.0791 0.5826
10 Co 0.5826 0.5826 0.0791
11 Co 0.6660 0.6660 0.6660
12 Co 0.9209 0.4174 0.4174

Calculated values
energy of formation from the pure elements: -0.180 eV/atom
density: 9.857 g/cm3



Entry 21:
SmGd2Sn4Au4 | GGA-PBE | optimized geometry

Lattice parameters (Å, degrees): 8.8802 8.8802 8.8802 150.03 131.47 58.09
Fractional coordinates of all 11 atoms:
1 Sm 0.0000 0.0000 0.0000
2 Gd 0.3713 0.8713 0.5000
3 Gd 0.6287 0.1287 0.5000
4 Sn 0.2154 0.2154 0.0000
5 Sn 0.3046 0.5000 0.8046
6 Sn 0.6954 0.5000 0.1954
7 Sn 0.7846 0.7846 0.0000
8 Au 0.0334 0.3318 0.7016
9 Au 0.3698 0.6682 0.7016
10 Au 0.6302 0.3318 0.2984
11 Au 0.9666 0.6682 0.2984

Calculated values
density: 11.025 g/cm3
calculated total energy: -4.595 eV per atom



Entry 22:
Ni2Mo4N | GGA-PBE | optimized geometry

Lattice parameters (Å, degrees): 7.9689 7.9689 7.9689 60.00 60.00 60.00
Fractional coordinates of all 28 atoms:
1 Ni 0.1272 0.7909 0.7909
2 Ni 0.2091 0.2091 0.2091
3 Ni 0.2091 0.2091 0.8728
4 Ni 0.2091 0.8728 0.2091
5 Ni 0.7909 0.1272 0.7909
6 Ni 0.7909 0.7909 0.1272
7 Ni 0.7909 0.7909 0.7909
8 Ni 0.8728 0.2091 0.2091
9 Mo 0.0000 0.0000 0.0000
10 Mo 0.0000 0.0000 0.5000
11 Mo 0.0000 0.5000 0.0000
12 Mo 0.1814 0.1814 0.5686
13 Mo 0.1814 0.5686 0.1814
14 Mo 0.1814 0.5686 0.5686
15 Mo 0.4314 0.4314 0.8186
16 Mo 0.4314 0.8186 0.4314
17 Mo 0.4314 0.8186 0.8186
18 Mo 0.5000 0.0000 0.0000
19 Mo 0.5686 0.1814 0.1814
20 Mo 0.5686 0.1814 0.5686
21 Mo 0.5686 0.5686 0.1814
22 Mo 0.8186 0.4314 0.4314
23 Mo 0.8186 0.4314 0.8186
24 Mo 0.8186 0.8186 0.4314
25 N 0.0000 0.5000 0.5000
26 N 0.5000 0.0000 0.5000
27 N 0.5000 0.5000 0.0000
28 N 0.5000 0.5000 0.5000

Calculated values
density: 9.562 g/cm3
calculated total energy: -9.167 eV per atom



Entry 23:
AlCdFeIr | GGA-PBE | optimized geometry

Lattice parameters (Å, degrees): 4.3936 4.3936 4.3936 60.00 60.00 60.00
Fractional coordinates of all 4 atoms:
1 Al 0.0000 0.0000 0.0000
2 Cd 0.5000 0.5000 0.5000
3 Fe 0.2500 0.2500 0.2500
4 Ir 0.7500 0.7500 0.7500

Calculated values
density: 10.728 g/cm3
calculated total energy: -5.470 eV per atom